1.
## CaSc2Cd (GGA-PBE)

Data for CaSc2Cd after structural relaxation.

abc: 6.378 11.181 3.251
angles: 90.00 115.34 90.00
Space group C2/m (No. 12)
Inequivalent atoms, fractional coordinates:
Ca (0.000, 0.000, 0.000)
Sc (0.250, 0.250, 0.500)
Cd (0.000, 0.500, 0.000)

energy relative to the elements = 0.07 eV per atom
electronic total energy = -3.8213 eV/atom
mass density = 3.84 g/cm3
M_tot = 0.0 μB/f.u.

2.
## Ca2ScCd6 (GGA-PBE)

Data for Ca2ScCd6 after structural relaxation.

abc: 8.6155 8.6155 3.4375
angles: 90.00 90.00 120.00
Space group P6/mmm (No. 191)
Inequivalent atoms, fractional coordinates:
Ca (0.3333, 0.6667, 0.0000)
Sc (0.0000, 0.0000, 0.0000)
Cd (0.0000, 0.3293, 0.5000)

energy relative to the elements = -0.28 eV per atom
electronic total energy = -2.0394 eV/atom
mass density = 6.01 g/cm3
M_tot = 0.0 μB/f.u.

3.
## CaSc2Cd (GGA-PBE)

Data for CaSc2Cd after structural relaxation.

abc: 3.531 3.531 8.808
angles: 90.00 90.00 90.00
Space group P4/mmm (No. 123)
Inequivalent atoms, fractional coordinates:
Ca (0.000, 0.000, 0.000)
Sc (0.500, 0.500, 0.303)
Cd (0.000, 0.000, 0.500)

energy relative to the elements = 0.00 eV per atom
electronic total energy = -3.8939 eV/atom
mass density = 3.67 g/cm3
M_tot = 0.0 μB/f.u.

4.
## CaSc2Cd (GGA-PBE)

Data for CaSc2Cd after structural relaxation.

abc: 12.477 3.532 5.329
angles: 90.00 115.20 90.00
Space group C2/m (No. 12)
Inequivalent atoms, fractional coordinates:
Ca (0.000, 0.000, 0.000)
Sc (0.220, 0.000, 0.720)
Cd (0.000, 0.500, 0.500)

energy relative to the elements = -0.06 eV per atom
electronic total energy = -3.9559 eV/atom
mass density = 3.79 g/cm3
M_tot = 0.0 μB/f.u.

5.
## Ca2ScCd4 (GGA-PBE)

Data for Ca2ScCd4 after structural relaxation.

abc: 5.286 5.286 13.898
angles: 90.00 90.00 90.00
Space group I4/mmm (No. 139)
Inequivalent atoms, fractional coordinates:
Ca (0.000, 0.000, 0.243)
Sc (0.000, 0.000, 0.500)
Cd (0.000, 0.500, 0.107)

energy relative to the elements = -0.17 eV per atom
electronic total energy = -2.1644 eV/atom
mass density = 4.91 g/cm3
M_tot = 0.0 μB/f.u.

6.
## Ca4ScCd (GGA-PBE)

Data for Ca4ScCd after structural relaxation.

abc: 9.510 9.510 9.510
angles: 90.00 90.00 90.00
Space group F-43m (No. 216)
Inequivalent atoms, fractional coordinates:
Ca (0.124, 0.124, 0.376)
Sc (0.250, 0.250, 0.750)
Cd (0.000, 0.000, 0.000)

energy relative to the elements = 0.39 eV per atom
electronic total energy = -2.1476 eV/atom
mass density = 2.45 g/cm3
M_tot = 1.7 μB/f.u.

7.
## CaSc2Cd (GGA-PBE)

Data for CaSc2Cd after structural relaxation.

abc: 4.386 4.386 22.876
angles: 90.00 90.00 90.00
Space group I-42d (No. 122)
Inequivalent atoms, fractional coordinates:
Ca (0.000, 0.000, 0.000)
Sc (0.232, 0.250, 0.625)
Cd (0.000, 0.000, 0.500)

energy relative to the elements = 0.24 eV per atom
electronic total energy = -3.6499 eV/atom
mass density = 3.66 g/cm3
M_tot = 0.7 μB/f.u.

8.
## CaScCd14 (GGA-PBE)

Data for CaScCd14 after structural relaxation.

abc: 6.528 6.528 8.577
angles: 90.00 90.00 90.00
Space group P4/mmm (No. 123)
Inequivalent atoms, fractional coordinates:
Ca (0.000, 0.000, 0.000)
Sc (0.500, 0.500, 0.000)
Cd (0.000, 0.000, 0.500)
Cd (0.000, 0.500, 0.000)
Cd (0.000, 0.500, 0.500)
Cd (0.255, 0.255, 0.255)
Cd (0.500, 0.500, 0.500)

energy relative to the elements = -0.12 eV per atom
electronic total energy = -1.4371 eV/atom
mass density = 7.54 g/cm3
M_tot = 0.0 μB/f.u.

9.
## CaSc4Cd5 (GGA-PBE)

Data for CaSc4Cd5 after structural relaxation.

abc: 3.580 3.580 18.083
angles: 90.00 90.00 90.00
Space group P4/mmm (No. 123)
Inequivalent atoms, fractional coordinates:
Ca (0.000, 0.000, 0.000)
Sc (0.000, 0.000, 0.211)
Sc (0.000, 0.000, 0.404)
Cd (0.500, 0.500, 0.117)
Cd (0.500, 0.500, 0.307)
Cd (0.500, 0.500, 0.500)

energy relative to the elements = -0.30 eV per atom
electronic total energy = -3.4907 eV/atom
mass density = 5.60 g/cm3
M_tot = 0.0 μB/f.u.

10.
## CaSc2Cd (GGA-PBE)

Data for CaSc2Cd after structural relaxation.

abc: 3.785 5.154 10.760
angles: 90.00 90.00 90.00
Space group Imm2 (No. 44)
Inequivalent atoms, fractional coordinates:
Ca (0.000, 0.000, 0.000)
Sc (0.000, 0.000, 0.549)
Sc (0.000, 0.500, 0.778)
Cd (0.000, 0.500, 0.263)

energy relative to the elements = 0.02 eV per atom
electronic total energy = -3.8761 eV/atom
mass density = 3.83 g/cm3
M_tot = 0.0 μB/f.u.

11.
## Ca2ScCdSi (GGA-PBE)

Data for Ca2ScCdSi after structural relaxation.

abc: 6.029 6.029 4.988
angles: 90.00 90.00 90.00
Space group P4/mmm (No. 123)
Inequivalent atoms, fractional coordinates:
Ca (0.000, 0.500, 0.000)
Sc (0.000, 0.000, 0.000)
Cd (0.500, 0.500, 0.500)
Si (0.000, 0.000, 0.500)

electronic total energy = -2.7905 eV/atom
uncorrected formation energy = 0.54 eV/atom
mass density = 2.43 g/cm3
M_tot = 1.7 μB/f.u.

12.
## CaScTlCd (GGA-PBE)

Data for CaScTlCd after structural relaxation.

abc: 3.672 3.672 7.560
angles: 90.00 90.00 90.00
Space group P4mm (No. 99)
Inequivalent atoms, fractional coordinates:
Ca (0.000, 0.000, 0.000)
Sc (0.000, 0.000, 0.511)
Tl (0.500, 0.500, 0.276)
Cd (0.500, 0.500, 0.727)

energy relative to the elements = -0.33 eV per atom
electronic total energy = -3.2362 eV/atom
mass density = 6.55 g/cm3
M_tot = 0.2 μB/f.u.
energy relative to the lowest polymorph listed for this composition = 0.0 kJ per mole of atoms

13.
## CaScTlCd (GGA-PBE)

Data for CaScTlCd after structural relaxation.

abc: 7.405 7.405 7.405
angles: 90.00 90.00 90.00
Space group F-43m (No. 216)
Inequivalent atoms, fractional coordinates:
Ca (0.000, 0.000, 0.000)
Sc (0.000, 0.000, 0.500)
Tl (0.250, 0.250, 0.250)
Cd (0.250, 0.250, 0.750)

energy relative to the elements = -0.31 eV per atom
electronic total energy = -3.2112 eV/atom
mass density = 6.57 g/cm3
M_tot = 0.0 μB/f.u.
energy relative to the lowest polymorph listed for this composition = 2.4 kJ per mole of atoms

14.
## CaTmScCd (GGA-PBE)

Data for CaTmScCd after structural relaxation.

abc: 7.620 7.620 7.620
angles: 90.00 90.00 90.00
Space group F-43m (No. 216)
Inequivalent atoms, fractional coordinates:
Ca (0.000, 0.000, 0.000)
Tm (0.000, 0.000, 0.500)
Sc (0.250, 0.250, 0.250)
Cd (0.250, 0.250, 0.750)

energy relative to the elements = 0.03 eV per atom
electronic total energy = -3.4025 eV/atom
mass density = 5.50 g/cm3
M_tot = 0.0 μB/f.u.

15.
## CaYScCd (GGA-PBE)

Data for CaYScCd after structural relaxation.

abc: 7.673 7.673 7.673
angles: 90.00 90.00 90.00
Space group F-43m (No. 216)
Inequivalent atoms, fractional coordinates:
Ca (0.000, 0.000, 0.000)
Y (0.000, 0.000, 0.500)
Sc (0.250, 0.250, 0.750)
Cd (0.250, 0.250, 0.250)

energy relative to the elements = 0.01 eV per atom
electronic total energy = -3.9160 eV/atom
mass density = 4.21 g/cm3
M_tot = 0.0 μB/f.u.

16.
## CaScZnCd (GGA-PBE)

Data for CaScZnCd after structural relaxation.

abc: 7.191 7.191 7.191
angles: 90.00 90.00 90.00
Space group F-43m (No. 216)
Inequivalent atoms, fractional coordinates:
Ca (0.000, 0.000, 0.000)
Sc (0.000, 0.000, 0.500)
Zn (0.250, 0.250, 0.250)
Cd (0.250, 0.250, 0.750)

energy relative to the elements = -0.24 eV per atom
electronic total energy = -2.8715 eV/atom
mass density = 4.69 g/cm3
M_tot = 0.0 μB/f.u.
energy relative to the lowest polymorph listed for this composition = 6.2 kJ per mole of atoms

17.
## CaScZnCd (GGA-PBE)

Data for CaScZnCd after structural relaxation.

abc: 3.574 3.574 7.244
angles: 90.00 90.00 90.00
Space group P4mm (No. 99)
Inequivalent atoms, fractional coordinates:
Ca (0.000, 0.000, 0.000)
Sc (0.000, 0.000, 0.532)
Zn (0.500, 0.500, 0.728)
Cd (0.500, 0.500, 0.294)

energy relative to the elements = -0.31 eV per atom
electronic total energy = -2.9359 eV/atom
mass density = 4.72 g/cm3
M_tot = 0.0 μB/f.u.
energy relative to the lowest polymorph listed for this composition = 0.0 kJ per mole of atoms

18.
## CaCd2Se (GGA-PBE)

Data for CaCd2Se after structural relaxation.

abc: 4.1155 4.1155 23.6193
angles: 90.00 90.00 120.00
Space group R-3m (No. 166, hexagonal axes)
Inequivalent atoms, fractional coordinates:
Ca (0.0000, 0.0000, 0.0000)
Cd (0.0000, 0.0000, 0.2356)
Se (0.0000, 0.0000, 0.5000)

electronic total energy = -2.2226 eV/atom
uncorrected formation energy = -0.39 eV/atom
mass density = 4.94 g/cm3
M_tot = 0.0 μB/f.u.

19.
## CaCd2Se (GGA-PBE)

Data for CaCd2Se after structural relaxation.

abc: 4.150 4.014 6.754
angles: 90.00 107.86 90.00
Space group Pm (No. 6)
Inequivalent atoms, fractional coordinates:
Ca (0.000, 0.000, 0.000)
Cd (0.297, 0.500, 0.584)
Cd (0.741, 0.000, 0.473)
Se (0.524, 0.500, 0.048)

electronic total energy = -2.5755 eV/atom
uncorrected formation energy = -0.75 eV/atom
mass density = 5.33 g/cm3
M_tot = 0.0 μB/f.u.

20.
## CaCdSe4 (GGA-PBE)

Data for CaCdSe4 after structural relaxation.

abc: 8.329 8.329 8.329
angles: 90.00 90.00 90.00
Space group F-43m (No. 216)
Inequivalent atoms, fractional coordinates:
Ca (0.000, 0.000, 0.000)
Cd (0.250, 0.250, 0.750)
Se (0.124, 0.124, 0.376)

electronic total energy = -2.9706 eV/atom
uncorrected formation energy = -0.16 eV/atom
mass density = 5.38 g/cm3
M_tot = 0.0 μB/f.u.